This record from Alexandria describes crystalline SrTa2CuW at its relaxed geometry. The functional is GGA-PBE.

Cell and atoms, written as POSCAR:
```
SrTa2CuW
1.0
4.729 0.000 0.000
0.000 4.729 0.000
0.000 0.000 5.097
Sr Ta Cu W
1 2 1 1
Direct
0.000 0.000 0.000
0.000 0.500 0.500
0.500 0.000 0.500
0.000 0.000 0.500
0.500 0.500 0.000
```

Calculated values
N(E_F), states/eV per cell: 5.572
E, eV/atom: -6.726
Energy relative to the elements, eV/atom: 1.76
Density, g/cm³: 10.2
Spin magnetization, Bohr magnetons per cell: 1.5

=====

This record from Alexandria describes crystalline Cd2GaNi2 at its relaxed geometry. The functional is GGA-PBE.

Cell and atoms, written as POSCAR:
```
Cd2GaNi2
1.0
-1.927 1.927 6.052
1.927 -1.927 6.052
1.927 1.927 -6.052
Cd Ga Ni
2 1 2
Direct
0.250 0.750 0.500
0.750 0.250 0.500
0.000 0.000 0.000
0.407 0.407 0.000
0.593 0.593 0.000
```

Calculated values
N(E_F), states/eV per cell: 2.049
E, eV/atom: -2.970
Energy relative to the elements, eV/atom: 0.31
Density, g/cm³: 7.6
Spin magnetization, Bohr magnetons per cell: 0.0

=====

This record from Alexandria describes crystalline KYPb at its relaxed geometry. The functional is GGA-PBE.

Cell and atoms, written as POSCAR:
```
KYPb
1.0
7.236 0.000 0.000
0.000 4.954 0.000
-3.566 0.000 6.731
K Y Pb
2 2 2
Direct
0.000 0.000 0.000
0.451 0.500 0.003
0.047 0.500 0.420
0.629 0.500 0.584
0.357 0.000 0.563
0.794 0.000 0.437
```

Calculated values
N(E_F), states/eV per cell: 3.503
E, eV/atom: -3.865
Energy relative to the elements, eV/atom: -0.11
Density, g/cm³: 4.6
Spin magnetization, Bohr magnetons per cell: 0.7
Energy above the most stable polymorph in this dataset, meV/atom: 180.7

=====

This record from Alexandria describes crystalline Na2AcGe2 at its relaxed geometry. The functional is GGA-PBE.

Cell and atoms, written as POSCAR:
```
Na2AcGe2
1.0
-2.247 2.247 6.748
2.247 -2.247 6.748
2.247 2.247 -6.748
Na Ac Ge
2 1 2
Direct
0.250 0.750 0.500
0.750 0.250 0.500
0.000 0.000 0.000
0.407 0.407 0.000
0.593 0.593 0.000
```

Calculated values
N(E_F), states/eV per cell: 2.229
E, eV/atom: -3.540
Energy relative to the elements, eV/atom: -0.34
Density, g/cm³: 5.1
Spin magnetization, Bohr magnetons per cell: 0.0
Energy above the most stable polymorph in this dataset, meV/atom: 24.7

=====

This record from Alexandria describes crystalline BeAl2 at its relaxed geometry. The functional is GGA-PBE.

Cell and atoms, written as POSCAR:
```
BeAl2
1.0
2.753 0.000 0.000
-1.376 2.384 0.000
0.000 0.000 6.462
Be Al
1 2
Direct
0.000 0.000 0.000
0.333 0.667 0.312
0.667 0.333 0.688
```

Calculated values
N(E_F), states/eV per cell: 0.740
E, eV/atom: -3.546
Energy relative to the elements, eV/atom: 0.19
Density, g/cm³: 2.5
Spin magnetization, Bohr magnetons per cell: 0.0

=====

This record from Alexandria describes crystalline LaTmPd2 at its relaxed geometry. The functional is GGA-PBE.

Cell and atoms, written as POSCAR:
```
LaTmPd2
1.0
2.415 1.394 4.683
-2.415 1.394 4.683
0.000 -2.789 4.683
La Tm Pd
1 1 2
Direct
0.000 0.000 0.000
0.500 0.500 0.500
0.224 0.224 0.224
0.776 0.776 0.776
```

Calculated values
N(E_F), states/eV per cell: 3.030
E, eV/atom: -5.766
Energy relative to the elements, eV/atom: -0.82
Density, g/cm³: 9.1
Spin magnetization, Bohr magnetons per cell: 0.0
Energy above the most stable polymorph in this dataset, meV/atom: 54.7

=====

This record from Alexandria describes crystalline TbGe2Mo at its relaxed geometry. The functional is GGA-PBE.

Cell and atoms, written as POSCAR:
```
TbGe2Mo
1.0
1.860 1.074 6.771
-1.860 1.074 6.771
0.000 -2.148 6.771
Tb Ge Mo
1 2 1
Direct
0.000 0.000 0.000
0.239 0.239 0.239
0.761 0.761 0.761
0.500 0.500 0.500
```

Calculated values
N(E_F), states/eV per cell: 2.626
E, eV/atom: -6.447
Energy relative to the elements, eV/atom: -0.27
Density, g/cm³: 8.2
Spin magnetization, Bohr magnetons per cell: 0.0
Energy above the most stable polymorph in this dataset, meV/atom: 15.8

=====

This record from Alexandria describes crystalline Ho3BeGe2 at its relaxed geometry. The functional is GGA-PBE.

Cell and atoms, written as POSCAR:
```
Ho3BeGe2
1.0
11.247 0.000 0.000
0.000 4.051 0.000
0.000 0.000 11.456
Ho Be Ge
12 4 8
Direct
0.063 0.250 0.122
0.122 0.750 0.559
0.206 0.250 0.797
0.294 0.750 0.297
0.378 0.250 0.059
0.437 0.750 0.622
0.563 0.250 0.378
0.622 0.750 0.941
0.706 0.250 0.703
0.794 0.750 0.203
0.878 0.250 0.441
0.937 0.750 0.878
0.135 0.250 0.363
0.365 0.750 0.863
0.635 0.250 0.137
0.865 0.750 0.637
0.030 0.750 0.318
0.193 0.750 0.988
0.307 0.250 0.488
0.470 0.250 0.818
0.530 0.750 0.182
0.693 0.750 0.512
0.807 0.250 0.012
0.970 0.250 0.682
```

Calculated values
N(E_F), states/eV per cell: 15.048
E, eV/atom: -5.129
Energy relative to the elements, eV/atom: -0.68
Density, g/cm³: 8.3
Spin magnetization, Bohr magnetons per cell: 0.0

=====

This record from Alexandria describes crystalline LiNbTe3O12 at its relaxed geometry. The functional is GGA-PBE.

Cell and atoms, written as POSCAR:
```
LiNbTe3O12
1.0
4.998 0.000 0.000
0.000 8.662 0.000
0.000 0.000 5.242
Li Nb Te O
1 1 3 12
Direct
0.000 0.000 0.000
0.000 0.616 0.000
0.000 0.806 0.500
0.500 0.119 0.500
0.500 0.308 0.000
0.193 0.807 0.814
0.209 0.653 0.319
0.243 0.974 0.358
0.258 0.463 0.885
0.286 0.143 0.818
0.295 0.283 0.316
0.705 0.283 0.684
0.714 0.143 0.182
0.742 0.463 0.115
0.757 0.974 0.642
0.791 0.653 0.681
0.807 0.807 0.186
```

Calculated values
E, eV/atom: -6.067
Formation energy (no corrections), eV per atom: -1.3077
Density, g/cm³: 4.9
Spin magnetization, Bohr magnetons per cell: 0.0
Energy above the most stable polymorph in this dataset, meV/atom: 2.3

=====

This record from Alexandria describes crystalline Li2AgIr at its relaxed geometry. The functional is GGA-PBE.

Cell and atoms, written as POSCAR:
```
Li2AgIr
1.0
2.581 0.000 0.000
0.000 4.377 0.000
0.000 0.000 5.329
Li Ag Ir
2 1 1
Direct
0.000 0.000 0.000
0.500 0.500 0.281
0.000 0.000 0.516
0.500 0.500 0.788
```

Calculated values
N(E_F), states/eV per cell: 2.050
E, eV/atom: -3.897
Energy relative to the elements, eV/atom: -0.01
Density, g/cm³: 8.7
Spin magnetization, Bohr magnetons per cell: 0.0

=====

This record from Alexandria describes crystalline TbPa3Mn4N12 at its relaxed geometry. The functional is GGA-PBE.

Cell and atoms, written as POSCAR:
```
TbPa3Mn4N12
1.0
5.570 3.216 2.831
-5.570 3.216 2.831
0.000 -6.432 2.831
Tb Pa Mn N
1 3 4 12
Direct
0.000 0.000 0.000
0.000 0.544 0.456
0.456 0.000 0.544
0.544 0.456 0.000
0.045 0.500 0.955
0.500 0.500 0.500
0.500 0.955 0.045
0.955 0.045 0.500
0.028 0.657 0.801
0.111 0.889 0.500
0.199 0.343 0.972
0.343 0.972 0.199
0.344 0.656 0.500
0.500 0.111 0.889
0.500 0.344 0.656
0.656 0.500 0.344
0.657 0.801 0.028
0.801 0.028 0.657
0.889 0.500 0.111
0.972 0.199 0.343
```

Calculated values
N(E_F), states/eV per cell: 7.597
E, eV/atom: -9.061
Formation energy (no corrections), eV per atom: -0.5762
Density, g/cm³: 6.8
Spin magnetization, Bohr magnetons per cell: 10.0

=====

This record from Alexandria describes crystalline AcPmAs2Rh5 at its relaxed geometry. The functional is GGA-PBE.

Cell and atoms, written as POSCAR:
```
AcPmAs2Rh5
1.0
4.148 0.000 0.000
0.000 4.148 0.000
0.000 0.000 11.354
Ac Pm As Rh
1 1 2 5
Direct
0.000 0.000 0.000
0.000 0.000 0.500
0.500 0.500 0.211
0.500 0.500 0.789
0.000 0.500 0.314
0.000 0.500 0.686
0.500 0.000 0.314
0.500 0.000 0.686
0.500 0.500 0.000
```

Calculated values
N(E_F), states/eV per cell: 4.364
E, eV/atom: -6.686
Energy relative to the elements, eV/atom: -0.58
Density, g/cm³: 8.8
Spin magnetization, Bohr magnetons per cell: 0.0